1.
Here is an optimized crystal structure of KRb3F from Alexandria via LeMat-Bulk. Energies are from GGA-PBE.

The space group is Pm-3m (No. 221) and the conventional cell measures 6.3896, 6.3896 and 6.3896 Å, with angles of 90.00, 90.00 and 90.00 degrees. The distinct sites, in fractional coordinates, are K at (0.0000, 0.0000, 0.0000), Rb at (0.0000, 0.5000, 0.5000) and F at (0.5000, 0.5000, 0.5000).


2.
Here is an optimized crystal structure of KRb3F from Alexandria via LeMat-Bulk. Energies are from GGA-PBE.

The space group is Pm-3m (No. 221) and the conventional cell measures 7.9455, 7.9455 and 7.9455 Å, with angles of 90.00, 90.00 and 90.00 degrees. The distinct sites, in fractional coordinates, are K at (0.0000, 0.0000, 0.0000), Rb at (0.0000, 0.0000, 0.5000) and F at (0.5000, 0.5000, 0.5000).


3.
Here is an optimized crystal structure of K3RbF from Alexandria via LeMat-Bulk. Energies are from GGA-PBE.

The space group is Pm-3m (No. 221) and the conventional cell measures 7.8918, 7.8918 and 7.8918 Å, with angles of 90.00, 90.00 and 90.00 degrees. The distinct sites, in fractional coordinates, are K at (0.0000, 0.0000, 0.5000), Rb at (0.0000, 0.0000, 0.0000) and F at (0.5000, 0.5000, 0.5000).


4.
Here is an optimized crystal structure of KRb2F6 from Alexandria via LeMat-Bulk. Energies are from GGA-PBE.

The space group is Cm (No. 8) and the conventional cell measures 12.5171, 7.3627 and 3.7810 Å, with angles of 90.00, 90.45 and 90.00 degrees. The distinct sites, in fractional coordinates, are K at (0.0000, 0.0000, 0.0000), Rb at (0.1653, 0.5000, 0.9993), Rb at (0.3343, 0.0000, 0.0005), F at (0.0828, 0.2373, 0.4997), F at (0.2504, 0.2503, 0.4999) and F at (0.4177, 0.2625, 0.5002).


5.
Here is an optimized crystal structure of K3Rb2F8 from Alexandria via LeMat-Bulk. Energies are from GGA-PBE.

The space group is Cmmm (No. 65) and the conventional cell measures 9.7750, 11.9868 and 5.0281 Å, with angles of 90.00, 90.00 and 90.00 degrees. The distinct sites, in fractional coordinates, are K at (0.0000, 0.0000, 0.0000), K at (0.2189, 0.5000, 0.5000), Rb at (0.0000, 0.2905, 0.0000), F at (0.0000, 0.0853, 0.5000), F at (0.0000, 0.3734, 0.5000) and F at (0.2445, 0.0919, 0.0000).


6.
Here is an optimized crystal structure of KRb3F4 from Alexandria via LeMat-Bulk. Energies are from GGA-PBE.

The space group is Cmmm (No. 65) and the conventional cell measures 8.0033, 11.2778 and 4.0004 Å, with angles of 90.00, 90.00 and 90.00 degrees. The distinct sites, in fractional coordinates, are K at (0.0000, 0.0000, 0.0000), Rb at (0.0000, 0.5000, 0.0000), Rb at (0.2500, 0.2500, 0.5000), F at (0.0000, 0.2449, 0.0000) and F at (0.2420, 0.0000, 0.5000).


Number 1: final energy -2.107 eV/atom, formation energy without anion corrections -0.93 eV/atom. Number 2: final energy -1.402 eV/atom, formation energy without anion corrections -0.23 eV/atom. Number 3: final energy -1.357 eV/atom, formation energy without anion corrections -0.13 eV/atom. Number 4: final energy -3.432 eV/atom, formation energy without anion corrections -1.85 eV/atom. Number 5: final energy -3.642 eV/atom, formation energy without anion corrections -2.09 eV/atom. Number 6: final energy -4.114 eV/atom, formation energy without anion corrections -2.68 eV/atom.